# 1
12
Lattice="3.857 0.000 0.000 0.000 7.854 0.243 -1.929 -2.303 8.197" Properties=species:S:1:pos:R:3 comment="Sc6As2AuSe3, relaxed, DFT PBE-GGA" raw_formation_energy_ev_per_atom=-1.392 sg="C2/m, No. 12" pbc="T T T"
Sc 0.000 5.609 5.653
Sc 1.929 3.737 2.945
Sc 1.929 -0.058 2.787
Sc 0.000 1.994 0.085
Sc 1.929 3.557 8.355
Sc 0.000 1.814 5.495
As 1.929 3.702 5.643
As 0.000 1.849 2.797
Au 1.929 0.000 0.000
Se 1.929 3.927 0.122
Se 1.929 -0.213 5.495
Se 0.000 5.764 2.945

# 2
5
Lattice="5.124 0.000 0.000 0.000 5.124 0.000 0.000 0.000 5.003" Properties=species:S:1:pos:R:3 comment="ScAs2AuSe, relaxed, DFT PBE-GGA" raw_formation_energy_ev_per_atom=0.291 de_polymorph_mev_per_atom=0 sg="P4/mmm, No. 123" pbc="T T T"
Sc 0.000 0.000 0.000
As 0.000 2.562 0.000
As 2.562 0.000 0.000
Au 2.562 2.562 2.502
Se 0.000 0.000 2.502